[1]
First-principles (PBE) data for an optimized crystal structure of ZnRuRh4, as listed in Alexandria.

The structure belongs to space group Pmmm (No. 47); the cell edges are 2.7244, 3.8228 and 8.1210 Å and the angles 90.00°, 90.00° and 90.00°. The inequivalent atoms are Zn at (0.0000, 0.0000, 0.0000), Ru at (0.5000, 0.5000, 0.5000), Rh at (0.0000, 0.0000, 0.3360) and Rh at (0.5000, 0.5000, 0.1652).

The value obtained for the relative energy among the computed polymorphs is 0.00 eV/f.u. The crystal system is orthorhombic. The density of states at the Fermi level is 8.33 states/eV/f.u. As for the formation energy: -48 meV per atom.



[2]
First-principles (PBE) data for an optimized crystal structure of ZnRuRh2, as listed in Alexandria.

The structure belongs to space group Cmmm (No. 65); the cell edges are 5.4132, 7.6342 and 2.7191 Å and the angles 90.00°, 90.00° and 90.00°. The inequivalent atoms are Zn at (0.0000, 0.0000, 0.0000), Ru at (0.0000, 0.5000, 0.0000) and Rh at (0.2500, 0.2500, 0.5000).

The crystal system is orthorhombic. The density of states at the Fermi level is 4.10 states/eV/f.u. As for the formation energy: -59 meV per atom.